The following is a PBE-GGA calculation of Pr2Tm2Pt15 after structural relaxation, from Alexandria via LeMat-Bulk.

Cell and atoms, written as extended XYZ:
```
19
Lattice="7.1077 0.0082 0.0073 0.9303 7.0465 0.0073 0.9303 0.8165 6.9991" Properties=species:S:1:pos:R:3 pbc="T T T"
Pr 5.7752 5.0688 4.5166
Pt 3.5673 3.1310 5.9011
Pt 0.4651 3.5233 0.0037
Pt 2.8373 4.8737 0.0073
Pt 2.8373 0.5670 4.8406
Pt 5.4008 4.7402 1.1126
Pt 3.5538 0.0041 0.0037
Pt 0.9303 2.7398 4.8406
Pt 0.9303 5.1232 2.1658
Pt 5.2006 2.1810 0.0073
Pt 3.5673 6.2216 2.4326
Pt 6.6319 2.7300 2.4326
Tm 0.9518 0.8354 0.7444
Pt 0.4651 0.4082 3.4995
Tm 8.0164 7.0358 6.2693
Pt 2.3363 5.1412 4.5811
Pt 5.4008 1.6496 4.5811
Pt 5.2006 0.2577 2.1658
Pr 3.1930 2.8024 2.4971
```

**SG**: R-3m
**ΔE_f**: -0.745 eV per atom